A plane-wave DFT calculation with GGA-PBEsol was carried out for crystalline MgSeBr2 at its relaxed geometry.

a = 5.361 Å, b = 5.361 Å, c = 5.500 Å
α = 102.12°, β = 102.12°, γ = 41.01°
Fractional positions:
1 Mg 0.000 0.000 0.000
2 Se 0.631 0.631 0.303
3 Br 0.286 0.286 0.934
4 Br 0.473 0.473 0.574

Properties
SG = Cm
VASP energy = -3.033 eV per atom
formation energy from raw total energies = -0.706 eV per atom

=====

A plane-wave DFT calculation with GGA-PBEsol was carried out for crystalline Mg2SeBr at its relaxed geometry.

a = 4.880 Å, b = 4.880 Å, c = 4.880 Å
α = 60.00°, β = 60.00°, γ = 60.00°
Fractional positions:
1 Mg 0.250 0.250 0.250
2 Mg 0.750 0.750 0.750
3 Se 0.000 0.000 0.000
4 Br 0.500 0.500 0.500

Properties
SG = Fm-3m
VASP energy = -3.000 eV per atom
formation energy from raw total energies = -0.711 eV per atom
DOS at the Fermi energy = 1.177 states/eV/f.u.

=====

| no. | ΔE to the lowest computed polymorph (eV/f.u.) |
| --- | --- |
| 1 | 0.00 |
| 2 | 0.01 |